No. 1
VASP calculation (PBEsol) on a relaxed CaYAs2 crystal.

## Properties
E above lowest polymorph, eV per formula unit: 0.00
Formation enthalpy at 0 K, eV/atom: -1.13
Spin magnetization, μB/cell: 0.00
Theoretical density, g cm⁻³: 5.0

Cell lengths 10.915, 3.946, 4.305 Å; angles 90.00, 96.10, 90.00 degrees
Sites, in units of the cell vectors:
1 Ca 0.000 0.000 0.000
2 Ca 0.500 0.500 0.000
3 Y 0.255 0.000 0.494
4 Y 0.755 0.500 0.494
5 As 0.025 0.500 0.513
6 As 0.236 0.500 0.981
7 As 0.525 0.000 0.513
8 As 0.736 0.000 0.981

---

No. 2
VASP calculation (PBEsol) on a relaxed CaYAs crystal.

## Properties
Formation enthalpy at 0 K, eV/atom: 0.16
Spin magnetization, μB/cell: 0.04
Theoretical density, g cm⁻³: 4.1

Cell lengths 6.907, 6.907, 6.907 Å; angles 90.00, 90.00, 90.00 degrees
Sites, in units of the cell vectors:
1 Ca 0.000 0.000 0.000
2 Ca 0.000 0.500 0.500
3 Ca 0.500 0.000 0.500
4 Ca 0.500 0.500 0.000
5 Y 0.250 0.250 0.250
6 Y 0.250 0.750 0.750
7 Y 0.750 0.250 0.750
8 Y 0.750 0.750 0.250
9 As 0.250 0.250 0.750
10 As 0.250 0.750 0.250
11 As 0.750 0.250 0.250
12 As 0.750 0.750 0.750

---

No. 3
VASP calculation (PBEsol) on a relaxed CaYAs2 crystal.

## Properties
E above lowest polymorph, eV per formula unit: 0.28
Formation enthalpy at 0 K, eV/atom: -1.06
Spin magnetization, μB/cell: 0.00
Theoretical density, g cm⁻³: 5.0

Cell lengths 4.439, 5.445, 7.591 Å; angles 90.00, 90.00, 90.00 degrees
Sites, in units of the cell vectors:
1 Ca 0.000 0.000 0.000
2 Ca 0.500 0.500 0.000
3 Y 0.000 0.000 0.500
4 Y 0.500 0.500 0.500
5 As 0.000 0.500 0.260
6 As 0.000 0.500 0.740
7 As 0.500 0.000 0.260
8 As 0.500 0.000 0.740

---

No. 4
VASP calculation (PBEsol) on a relaxed Ca2YAs crystal.

## Properties
Formation enthalpy at 0 K, eV/atom: -0.22
Spin magnetization, μB/cell: 0.00
Theoretical density, g cm⁻³: 3.7

Cell lengths 6.288, 10.806, 3.431 Å; angles 90.00, 107.82, 90.00 degrees
Sites, in units of the cell vectors:
1 Ca 0.250 0.250 0.000
2 Ca 0.250 0.750 0.000
3 Ca 0.750 0.250 0.000
4 Ca 0.750 0.750 0.000
5 Y 0.000 0.000 0.500
6 Y 0.500 0.500 0.500
7 As 0.000 0.500 0.500
8 As 0.500 0.000 0.500

---

No. 5
VASP calculation (PBEsol) on a relaxed CaY2As2 crystal.

## Properties
Formation enthalpy at 0 K, eV/atom: -1.21
Spin magnetization, μB/cell: 0.00
Theoretical density, g cm⁻³: 5.2

Cell lengths 7.758, 7.758, 3.924 Å; angles 90.00, 90.00, 90.00 degrees
Sites, in units of the cell vectors:
1 Ca 0.000 0.000 0.000
2 Ca 0.500 0.500 0.000
3 Y 0.155 0.345 0.500
4 Y 0.345 0.845 0.500
5 Y 0.655 0.155 0.500
6 Y 0.845 0.655 0.500
7 As 0.149 0.649 0.000
8 As 0.351 0.149 0.000
9 As 0.649 0.851 0.000
10 As 0.851 0.351 0.000

---

No. 6
VASP calculation (PBEsol) on a relaxed CaYAs2 crystal.

## Properties
E above lowest polymorph, eV per formula unit: 0.51
Formation enthalpy at 0 K, eV/atom: -1.00
Spin magnetization, μB/cell: 0.00
Theoretical density, g cm⁻³: 5.2

Cell lengths 4.944, 4.944, 7.335 Å; angles 90.00, 90.00, 90.00 degrees
Sites, in units of the cell vectors:
1 Ca 0.000 0.000 0.000
2 Ca 0.500 0.500 0.500
3 Y 0.000 0.000 0.500
4 Y 0.500 0.500 0.000
5 As 0.000 0.500 0.250
6 As 0.000 0.500 0.750
7 As 0.500 0.000 0.250
8 As 0.500 0.000 0.750